{
  "formula": "Na3Fe2PtO6",
  "functional": "PBE with a Hubbard U",
  "state": "relaxed",
  "n_ef_per_ev_cell": 0.1,
  "final_energy_ev_per_cell": -67.0,
  "rho_g_cm3": 5.77,
  "lattice_angstrom": [[2.685, -4.686, 0.000], [2.685, 4.686, 0.000], [-1.763, 0.000, 5.401]],
  "species": ["Na", "Na", "Na", "Fe", "Fe", "Pt", "O", "O", "O", "O", "O", "O"],
  "fractional_positions": [[0.000, 0.000, 0.000], [0.332, 0.668, 0.000], [0.668, 0.332, 0.000], [0.160, 0.840, 0.500], [0.840, 0.160, 0.500], [0.500, 0.500, 0.500], [0.104, 0.430, 0.299], [0.247, 0.247, 0.713], [0.430, 0.104, 0.299], [0.570, 0.896, 0.701], [0.753, 0.753, 0.287], [0.896, 0.570, 0.701]]
}